# 1
{"formula": "La2CeIr", "functional": "PBE", "state": "relaxed", "lattice_angstrom": [[1.943, -6.177, 0.000], [1.943, 6.177, 0.000], [0.000, 0.000, 10.028]], "species": ["La", "La", "La", "La", "Ce", "Ce", "Ir", "Ir"], "fractional_positions": [[0.140, 0.860, 0.563], [0.140, 0.860, 0.937], [0.860, 0.140, 0.063], [0.860, 0.140, 0.437], [0.408, 0.592, 0.750], [0.592, 0.408, 0.250], [0.250, 0.750, 0.250], [0.750, 0.250, 0.750]], "delta_e_f_mev_per_atom": -415, "space_group": "Cmcm", "e_above_lowest_polymorph_mev_per_atom": 31, "final_energy_ha_per_atom": -0.2417}

---

# 2
{"formula": "La2CeIr", "functional": "PBE", "state": "relaxed", "lattice_angstrom": [[1.976, 1.141, 10.656], [-1.976, 1.141, 10.656], [0.000, -2.282, 10.656]], "species": ["La", "La", "Ce", "Ir"], "fractional_positions": [[0.114, 0.114, 0.114], [0.886, 0.886, 0.886], [0.000, 0.000, 0.000], [0.500, 0.500, 0.500]], "delta_e_f_mev_per_atom": -95, "space_group": "R-3m", "e_above_lowest_polymorph_mev_per_atom": 351, "final_energy_ha_per_atom": -0.2299}

---

# 3
{"formula": "La3CeIr3", "functional": "PBE", "state": "relaxed", "lattice_angstrom": [[4.338, 2.504, 5.893], [-4.338, 2.504, 5.893], [0.000, -5.009, 5.893]], "species": ["La", "La", "La", "La", "La", "La", "Ce", "Ce", "Ir", "Ir", "Ir", "Ir", "Ir", "Ir"], "fractional_positions": [[0.123, 0.813, 0.366], [0.187, 0.634, 0.877], [0.366, 0.123, 0.813], [0.634, 0.877, 0.187], [0.813, 0.366, 0.123], [0.877, 0.187, 0.634], [0.321, 0.321, 0.321], [0.679, 0.679, 0.679], [0.050, 0.452, 0.691], [0.309, 0.950, 0.548], [0.452, 0.691, 0.050], [0.548, 0.309, 0.950], [0.691, 0.050, 0.452], [0.950, 0.548, 0.309]], "delta_e_f_mev_per_atom": -684, "space_group": "R-3", "final_energy_ha_per_atom": -0.2735}

---

# 4
{"formula": "LiLaCeIr", "functional": "PBE", "state": "relaxed", "lattice_angstrom": [[0.000, 3.597, 3.597], [3.597, 0.000, 3.597], [3.597, 3.597, 0.000]], "species": ["Li", "La", "Ce", "Ir"], "fractional_positions": [[0.000, 0.000, 0.000], [0.750, 0.750, 0.750], [0.250, 0.250, 0.250], [0.500, 0.500, 0.500]], "delta_e_f_mev_per_atom": -323, "space_group": "F-43m", "final_energy_ha_per_atom": -0.2106}

---

# 5
{"formula": "LaCeIrO6", "functional": "PBE", "state": "relaxed", "lattice_angstrom": [[5.673, 0.000, 0.000], [-2.836, 4.913, 0.000], [0.000, 0.000, 9.432]], "species": ["La", "La", "Ce", "Ce", "Ir", "Ir", "O", "O", "O", "O", "O", "O", "O", "O", "O", "O", "O", "O"], "fractional_positions": [[0.333, 0.667, 0.250], [0.667, 0.333, 0.750], [0.000, 0.000, 0.000], [0.000, 0.000, 0.500], [0.333, 0.667, 0.750], [0.667, 0.333, 0.250], [0.058, 0.367, 0.630], [0.058, 0.690, 0.870], [0.310, 0.367, 0.870], [0.310, 0.942, 0.630], [0.367, 0.058, 0.130], [0.367, 0.310, 0.370], [0.633, 0.690, 0.630], [0.633, 0.942, 0.870], [0.690, 0.058, 0.370], [0.690, 0.633, 0.130], [0.942, 0.310, 0.130], [0.942, 0.633, 0.370]], "raw_formation_energy_ev_per_fu": -20.4, "space_group": "P-31c", "final_energy_ha_per_atom": -0.2852}

---

# 6
{"formula": "La2CePaIr2", "functional": "PBE", "state": "relaxed", "lattice_angstrom": [[-3.610, 6.519, 3.594], [3.610, -6.519, 3.594], [3.610, 6.519, -3.594]], "species": ["La", "La", "La", "La", "Ce", "Ce", "Pa", "Pa", "Ir", "Ir", "Ir", "Ir"], "fractional_positions": [[0.188, 0.231, 0.419], [0.312, 0.731, 0.042], [0.688, 0.269, 0.958], [0.812, 0.769, 0.581], [0.250, 0.750, 0.500], [0.750, 0.250, 0.500], [0.250, 0.250, 0.000], [0.750, 0.750, 0.000], [0.087, 0.767, 0.854], [0.413, 0.267, 0.680], [0.587, 0.733, 0.320], [0.913, 0.233, 0.146]], "delta_e_f_mev_per_atom": -553, "space_group": "Ibam", "final_energy_ha_per_atom": -0.2837}